Record 1
{"formula": "K2Ho2CrS6", "functional": "PBE", "state": "optimized geometry", "lattice": [[-6.458, -1.083, -0.345], [3.944, -4.862, 1.951], [0.105, 4.311, 6.618]], "species": ["K", "K", "Ho", "Ho", "Cr", "S", "S", "S", "S", "S", "S"], "fractional_positions": [[0.828, 0.172, 0.000], [0.172, 0.828, 0.000], [0.333, 0.667, 0.500], [0.667, 0.333, 0.500], [0.000, 0.000, 0.500], [0.766, 0.766, 0.688], [0.068, 0.370, 0.691], [0.234, 0.234, 0.312], [0.370, 0.068, 0.691], [0.932, 0.630, 0.309], [0.630, 0.932, 0.309]]}

Record 2
{"formula": "K3Ho3CrSe8", "functional": "PBE", "state": "optimized geometry", "lattice": [[-3.846, -7.052, -0.695], [4.235, 2.915, -6.222], [4.912, -3.370, 7.008]], "species": ["K", "K", "K", "Ho", "Ho", "Ho", "Cr", "Se", "Se", "Se", "Se", "Se", "Se", "Se", "Se"], "fractional_positions": [[0.000, 0.000, 0.000], [0.000, 0.500, 0.000], [0.500, 0.500, 0.000], [0.500, 0.000, 0.500], [0.500, 0.500, 0.500], [0.000, 0.500, 0.500], [0.000, 0.000, 0.500], [0.265, 0.529, 0.294], [0.735, 0.471, 0.706], [0.783, 0.567, 0.310], [0.217, 0.433, 0.690], [0.783, 0.026, 0.310], [0.217, 0.974, 0.690], [0.243, 0.026, 0.310], [0.757, 0.974, 0.690]]}

Record 3
{"formula": "K3Ho2CrSe6", "functional": "PBE", "state": "optimized geometry", "lattice": [[-4.825, 3.684, 3.614], [-1.740, -3.046, -6.132], [0.153, -6.570, 4.585]], "species": ["K", "K", "K", "Ho", "Ho", "Cr", "Se", "Se", "Se", "Se", "Se", "Se"], "fractional_positions": [[0.171, 0.829, 0.500], [0.829, 0.171, 0.500], [0.500, 0.500, 0.500], [0.334, 0.666, 0.000], [0.666, 0.334, 0.000], [0.000, 0.000, 0.000], [0.935, 0.625, 0.804], [0.757, 0.757, 0.197], [0.065, 0.375, 0.196], [0.625, 0.935, 0.804], [0.243, 0.243, 0.803], [0.375, 0.065, 0.196]]}

Record 4
{"formula": "K4Ho3CrSe8", "functional": "PBE", "state": "optimized geometry", "lattice": [[8.228, 0.000, 0.000], [0.000, 8.999, 0.535], [-4.114, -4.109, 5.822]], "species": ["K", "K", "K", "K", "Ho", "Ho", "Ho", "Cr", "Se", "Se", "Se", "Se", "Se", "Se", "Se", "Se"], "fractional_positions": [[0.500, 0.000, 0.000], [0.500, 0.000, 0.500], [0.000, 0.000, 0.000], [0.000, 0.000, 0.500], [0.500, 0.500, 0.000], [0.500, 0.500, 0.500], [0.000, 0.500, 0.500], [0.000, 0.500, 0.000], [0.221, 0.696, 0.974], [0.222, 0.696, 0.443], [0.264, 0.293, 0.529], [0.753, 0.696, 0.974], [0.247, 0.304, 0.026], [0.736, 0.707, 0.471], [0.778, 0.304, 0.557], [0.779, 0.304, 0.026]]}

Record 5
{"formula": "K2HoCrSe4", "functional": "PBE", "state": "optimized geometry", "lattice": [[4.041, 0.000, 0.000], [0.000, 6.944, 0.099], [0.000, -2.467, 7.586]], "species": ["K", "K", "Ho", "Cr", "Se", "Se", "Se", "Se"], "fractional_positions": [[0.500, 0.000, 0.500], [0.000, 0.500, 0.500], [0.000, 0.000, 0.000], [0.500, 0.500, 0.000], [0.500, 0.254, 0.199], [0.500, 0.746, 0.801], [0.000, 0.294, 0.814], [0.000, 0.706, 0.186]]}

Record 6
{"formula": "K3Ho3CrTe8", "functional": "PBE", "state": "optimized geometry", "lattice": [[-2.021, 5.473, 6.294], [-6.192, -3.428, -4.859], [4.129, -6.105, 6.634]], "species": ["K", "K", "K", "Ho", "Ho", "Ho", "Cr", "Te", "Te", "Te", "Te", "Te", "Te", "Te", "Te"], "fractional_positions": [[0.000, 0.000, 0.000], [0.000, 0.500, 0.000], [0.500, 0.500, 0.000], [0.500, 0.000, 0.500], [0.500, 0.500, 0.500], [0.000, 0.500, 0.500], [0.000, 0.000, 0.500], [0.263, 0.527, 0.290], [0.737, 0.473, 0.710], [0.781, 0.562, 0.306], [0.219, 0.438, 0.694], [0.781, 0.024, 0.306], [0.219, 0.976, 0.694], [0.243, 0.024, 0.306], [0.757, 0.976, 0.694]]}

Number 1: ΔE_f (raw) -1.430 eV/atom, VASP energy -5.588 eV per atom. Number 2: ΔE_f (raw) -1.429 eV/atom, VASP energy -5.064 eV per atom. Number 3: ΔE_f (raw) -1.411 eV/atom, VASP energy -4.993 eV per atom. Number 4: ΔE_f (raw) -1.488 eV/atom, VASP energy -4.965 eV per atom. Number 5: ΔE_f (raw) -1.241 eV/atom, VASP energy -5.033 eV per atom. Number 6: ΔE_f (raw) -1.084 eV/atom, VASP energy -4.536 eV per atom.